12
Lattice="6.016 -1.559 0.000 6.016 1.559 0.000 -2.374 0.000 7.248" Properties=species:S:1:pos:R:3 comment="Mn2FeO3, relaxed, DFT GGA+U" dft_energy_ha_per_atom=-0.2695 pbc="T T T"
Mn 1.180 0.000 2.415
Mn 3.652 0.000 1.187
Mn 6.006 0.000 6.061
Mn 8.479 0.000 4.833
Fe -1.187 0.000 3.624
Fe 6.016 0.000 0.000
O -1.616 0.000 5.877
O 1.653 0.000 6.224
O 3.300 0.000 3.401
O 6.359 0.000 3.847
O 8.006 0.000 1.024
O 11.275 0.000 1.370